# 1
# TiBiOs2Br | Alexandria via LeMat-Bulk | PBE-GGA | relaxed
# crystal system: tetragonal
# raw formation energy: 2.062 eV per atom
# calculated density: 10.4 Mg/m³
data_TiBiOs2Br
_space_group_name_H-M_alt 'P 4/m m m'
_space_group_IT_number 123
_space_group_name_Hall '-P 4 2'
_cell_length_a 4.5665
_cell_length_b 4.5665
_cell_length_c 5.4655
_cell_angle_alpha 90.00
_cell_angle_beta 90.00
_cell_angle_gamma 90.00
loop_
_atom_site_label
_atom_site_fract_x
_atom_site_fract_y
_atom_site_fract_z
Ti1 0.0000 0.0000 0.0000
Bi1 0.5000 0.5000 0.0000
Os1 0.0000 0.5000 0.5000
Br1 0.5000 0.5000 0.5000



# 2
# BiPBr2 | Alexandria via LeMat-Bulk | PBE-GGA | relaxed
# crystal system: trigonal
# ΔE to the lowest computed polymorph: 0.141 eV/atom
# raw formation energy: 0.402 eV per atom
# calculated density: 6.2 Mg/m³
data_BiPBr2
_space_group_name_H-M_alt 'R -3 m'
_space_group_IT_number 166
_space_group_name_Hall '-R 3 2"'
_cell_length_a 3.5110
_cell_length_b 3.5110
_cell_length_c 30.2843
_cell_angle_alpha 90.00
_cell_angle_beta 90.00
_cell_angle_gamma 120.00
loop_
_atom_site_label
_atom_site_fract_x
_atom_site_fract_y
_atom_site_fract_z
Bi1 0.0000 0.0000 0.0000
P1 0.0000 0.0000 0.5000
Br1 0.0000 0.0000 0.0988



# 3
# BiPBr2 | Alexandria via LeMat-Bulk | PBE-GGA | relaxed
# crystal system: cubic
# ΔE to the lowest computed polymorph: 0.271 eV/atom
# raw formation energy: 0.533 eV per atom
# calculated density: 6.7 Mg/m³
data_BiPBr2
_space_group_name_H-M_alt 'F m -3 m'
_space_group_IT_number 225
_space_group_name_Hall '-F 4 2 3'
_cell_length_a 7.3361
_cell_length_b 7.3361
_cell_length_c 7.3361
_cell_angle_alpha 90.00
_cell_angle_beta 90.00
_cell_angle_gamma 90.00
loop_
_atom_site_label
_atom_site_fract_x
_atom_site_fract_y
_atom_site_fract_z
Bi1 0.0000 0.0000 0.0000
P1 0.0000 0.0000 0.5000
Br1 0.2500 0.2500 0.2500



# 4
# BiP2Br | Alexandria via LeMat-Bulk | PBE-GGA | relaxed
# crystal system: cubic
# ΔE to the lowest computed polymorph: 0.061 eV/atom
# raw formation energy: 0.711 eV per atom
# calculated density: 6.7 Mg/m³
data_BiP2Br
_space_group_name_H-M_alt 'F m -3 m'
_space_group_IT_number 225
_space_group_name_Hall '-F 4 2 3'
_cell_length_a 7.0262
_cell_length_b 7.0262
_cell_length_c 7.0262
_cell_angle_alpha 90.00
_cell_angle_beta 90.00
_cell_angle_gamma 90.00
loop_
_atom_site_label
_atom_site_fract_x
_atom_site_fract_y
_atom_site_fract_z
Bi1 0.0000 0.0000 0.0000
P1 0.2500 0.2500 0.2500
Br1 0.0000 0.0000 0.5000



# 5
# BiP2Br | Alexandria via LeMat-Bulk | PBE-GGA | relaxed
# crystal system: tetragonal
# ΔE to the lowest computed polymorph: 0.000 eV/atom
# raw formation energy: 0.651 eV per atom
# calculated density: 5.1 Mg/m³
data_BiP2Br
_space_group_name_H-M_alt 'I -4 2 d'
_space_group_IT_number 122
_space_group_name_Hall 'I -4 2bw'
_cell_length_a 7.1861
_cell_length_b 7.1861
_cell_length_c 8.8817
_cell_angle_alpha 90.00
_cell_angle_beta 90.00
_cell_angle_gamma 90.00
loop_
_atom_site_label
_atom_site_fract_x
_atom_site_fract_y
_atom_site_fract_z
Bi1 0.0000 0.0000 0.0000
P1 0.2385 0.2500 0.1250
Br1 0.0000 0.0000 0.5000



# 6
# BiP3Br | Alexandria via LeMat-Bulk | PBE-GGA | relaxed
# crystal system: cubic
# ΔE to the lowest computed polymorph: 0.000 eV/atom
# raw formation energy: 1.232 eV per atom
# calculated density: 5.5 Mg/m³
data_BiP3Br
_space_group_name_H-M_alt 'P m -3 m'
_space_group_IT_number 221
_space_group_name_Hall '-P 4 2 3'
_cell_length_a 4.8744
_cell_length_b 4.8744
_cell_length_c 4.8744
_cell_angle_alpha 90.00
_cell_angle_beta 90.00
_cell_angle_gamma 90.00
loop_
_atom_site_label
_atom_site_fract_x
_atom_site_fract_y
_atom_site_fract_z
Bi1 0.0000 0.0000 0.0000
P1 0.0000 0.5000 0.5000
Br1 0.5000 0.5000 0.5000



# 7
# BiPBr | Alexandria via LeMat-Bulk | PBE-GGA | relaxed
# crystal system: triclinic
# raw formation energy: -0.175 eV per atom
# calculated density: 4.7 Mg/m³
data_BiPBr
_space_group_name_H-M_alt 'P -1'
_space_group_IT_number 2
_cell_length_a 3.9962
_cell_length_b 7.9864
_cell_length_c 8.2219
_cell_angle_alpha 115.79
_cell_angle_beta 93.08
_cell_angle_gamma 104.03
loop_
_space_group_symop_operation_xyz
'x,y,z'
'-x,-y,-z'
loop_
_atom_site_label
_atom_site_fract_x
_atom_site_fract_y
_atom_site_fract_z
Bi1 0.0885 0.2555 0.2373
P1 0.4510 0.9857 0.1288
Br1 0.2181 0.3323 0.5989



# 8
# Bi3PBr | Alexandria via LeMat-Bulk | PBE-GGA | relaxed
# crystal system: cubic
# ΔE to the lowest computed polymorph: 0.000 eV/atom
# raw formation energy: 0.398 eV per atom
# calculated density: 7.4 Mg/m³
data_Bi3PBr
_space_group_name_H-M_alt 'P m -3 m'
_space_group_IT_number 221
_space_group_name_Hall '-P 4 2 3'
_cell_length_a 5.4884
_cell_length_b 5.4884
_cell_length_c 5.4884
_cell_angle_alpha 90.00
_cell_angle_beta 90.00
_cell_angle_gamma 90.00
loop_
_atom_site_label
_atom_site_fract_x
_atom_site_fract_y
_atom_site_fract_z
Bi1 0.0000 0.0000 0.5000
P1 0.0000 0.0000 0.0000
Br1 0.5000 0.5000 0.5000